A relaxed structure of Co2Sn2Au, computed with GGA-PBE.

Summary:
relative energy among the computed polymorphs = 115 meV/atom

Structure (CIF):
```
data_Co2Sn2Au
_space_group_name_H-M_alt 'P 4/m b m'
_space_group_IT_number 127
_space_group_name_Hall '-P 4 2ab'
_cell_length_a 7.483
_cell_length_b 7.483
_cell_length_c 2.964
_cell_angle_alpha 90.00
_cell_angle_beta 90.00
_cell_angle_gamma 90.00
loop_
_atom_site_label
_atom_site_type_symbol
_atom_site_fract_x
_atom_site_fract_y
_atom_site_fract_z
Co1 Co 0.137 0.363 0.000
Sn1 Sn 0.156 0.656 0.500
Au1 Au 0.000 0.000 0.500
```

---

A relaxed structure of BeAu3, computed with GGA-PBE.

Summary:
VASP energy = -3.30 eV per atom

Structure (CIF):
```
data_BeAu3
_space_group_name_H-M_alt 'I 4/m m m'
_space_group_IT_number 139
_space_group_name_Hall '-I 4 2'
_cell_length_a 3.973
_cell_length_b 3.973
_cell_length_c 8.200
_cell_angle_alpha 90.00
_cell_angle_beta 90.00
_cell_angle_gamma 90.00
loop_
_atom_site_label
_atom_site_type_symbol
_atom_site_fract_x
_atom_site_fract_y
_atom_site_fract_z
Be1 Be 0.000 0.000 0.000
Au1 Au 0.000 0.000 0.500
Au2 Au 0.000 0.500 0.250
```

---

A relaxed structure of CaPrY2Se4, computed with GGA-PBE.

Summary:
formation energy from raw total energies = -1840.1 meV/atom

Structure (CIF):
```
data_CaPrY2Se4
_space_group_name_H-M_alt 'P 1 2/m 1'
_space_group_IT_number 10
_cell_length_a 7.203
_cell_length_b 4.131
_cell_length_c 7.235
_cell_angle_alpha 90.00
_cell_angle_beta 109.04
_cell_angle_gamma 90.00
loop_
_space_group_symop_operation_xyz
'x,y,z'
'-x,-y,-z'
'-x,y,-z'
'x,-y,z'
loop_
_atom_site_label
_atom_site_type_symbol
_atom_site_fract_x
_atom_site_fract_y
_atom_site_fract_z
Ca1 Ca 0.000 0.000 0.000
Pr1 Pr 0.000 0.500 0.500
Y1 Y 0.500 0.000 0.500
Y2 Y 0.500 0.500 0.000
Se1 Se 0.258 0.500 0.247
Se2 Se 0.261 0.000 0.760
```

---

A relaxed structure of MgHIrPd2, computed with GGA-PBE.

Summary:
VASP energy = -5.08 eV per atom

Structure (CIF):
```
data_MgHIrPd2
_space_group_name_H-M_alt 'P 4/m m m'
_space_group_IT_number 123
_space_group_name_Hall '-P 4 2'
_cell_length_a 4.086
_cell_length_b 4.086
_cell_length_c 3.846
_cell_angle_alpha 90.00
_cell_angle_beta 90.00
_cell_angle_gamma 90.00
loop_
_atom_site_label
_atom_site_type_symbol
_atom_site_fract_x
_atom_site_fract_y
_atom_site_fract_z
Mg1 Mg 0.000 0.000 0.000
H1 H 0.500 0.500 0.500
Ir1 Ir 0.500 0.500 0.000
Pd1 Pd 0.000 0.500 0.500
```

---

A relaxed structure of MnBe3Pt, computed with GGA-PBE.

Summary:
relative energy among the computed polymorphs = 0 meV/atom

Structure (CIF):
```
data_MnBe3Pt
_space_group_name_H-M_alt 'P m -3 m'
_space_group_IT_number 221
_space_group_name_Hall '-P 4 2 3'
_cell_length_a 4.215
_cell_length_b 4.215
_cell_length_c 4.215
_cell_angle_alpha 90.00
_cell_angle_beta 90.00
_cell_angle_gamma 90.00
loop_
_atom_site_label
_atom_site_type_symbol
_atom_site_fract_x
_atom_site_fract_y
_atom_site_fract_z
Mn1 Mn 0.000 0.000 0.000
Be1 Be 0.000 0.500 0.500
Pt1 Pt 0.500 0.500 0.500
```

---

A relaxed structure of MnZnCu, computed with GGA-PBE.

Summary:
VASP energy = -4.77 eV per atom

Structure (CIF):
```
data_MnZnCu
_space_group_name_H-M_alt 'P 1 21/m 1'
_space_group_IT_number 11
_cell_length_a 2.673
_cell_length_b 3.634
_cell_length_c 7.971
_cell_angle_alpha 90.00
_cell_angle_beta 90.13
_cell_angle_gamma 90.00
loop_
_space_group_symop_operation_xyz
'x,y,z'
'-x,-y,-z'
'-x,y+1/2,-z'
'x,-y+1/2,z'
loop_
_atom_site_label
_atom_site_type_symbol
_atom_site_fract_x
_atom_site_fract_y
_atom_site_fract_z
Mn1 Mn 0.250 0.250 0.082
Zn1 Zn 0.251 0.250 0.746
Cu1 Cu 0.251 0.250 0.418
```